# AgOs2Au (PBE, relaxed)
data_AgOs2Au
_chemical_formula_sum 'Ag3 Os6 Au3'
_space_group_name_H-M_alt 'R 3 m'
_space_group_IT_number 160
_space_group_name_Hall 'R 3 -2"'
_cell_length_a 2.7967
_cell_length_b 2.7967
_cell_length_c 28.4622
_cell_angle_alpha 90.00
_cell_angle_beta 90.00
_cell_angle_gamma 120.00
loop_
_atom_site_label
_atom_site_fract_x
_atom_site_fract_y
_atom_site_fract_z
Ag1 0.0000 0.0000 0.0000
Os1 0.0000 0.0000 0.2468
Os2 0.0000 0.0000 0.5086
Au1 0.0000 0.0000 0.7551
# Formation energy ... 0.336 eV/atom
# Calculated volume ... 16.07 Å³ per atom
# Electronic total energy ... -81.73 eV/cell
# Magnetization ... 0.000 Bohr magnetons per cell



# AgOsAu2 (PBE, relaxed)
data_AgOsAu2
_chemical_formula_sum 'Ag1 Os1 Au2'
_space_group_name_H-M_alt 'P 4/m m m'
_space_group_IT_number 123
_space_group_name_Hall '-P 4 2'
_cell_length_a 2.7982
_cell_length_b 2.7982
_cell_length_c 8.6056
_cell_angle_alpha 90.00
_cell_angle_beta 90.00
_cell_angle_gamma 90.00
loop_
_atom_site_label
_atom_site_fract_x
_atom_site_fract_y
_atom_site_fract_z
Ag1 0.0000 0.0000 0.0000
Os1 0.0000 0.0000 0.5000
Au1 0.5000 0.5000 0.2605
# Formation energy ... 0.438 eV/atom
# Calculated volume ... 16.85 Å³ per atom
# Electronic total energy ... -18.88 eV/cell
# Magnetization ... 0.000 Bohr magnetons per cell



# AgOsAu2 (PBE, relaxed)
data_AgOsAu2
_chemical_formula_sum 'Ag3 Os3 Au6'
_space_group_name_H-M_alt 'R 3 m'
_space_group_IT_number 160
_space_group_name_Hall 'R 3 -2"'
_cell_length_a 2.8182
_cell_length_b 2.8182
_cell_length_c 29.3589
_cell_angle_alpha 90.00
_cell_angle_beta 90.00
_cell_angle_gamma 120.00
loop_
_atom_site_label
_atom_site_fract_x
_atom_site_fract_y
_atom_site_fract_z
Ag1 0.0000 0.0000 0.0000
Os1 0.0000 0.0000 0.7473
Au1 0.0000 0.0000 0.2480
Au2 0.0000 0.0000 0.4939
# Formation energy ... 0.380 eV/atom
# Calculated volume ... 16.83 Å³ per atom
# Electronic total energy ... -57.35 eV/cell
# Magnetization ... 0.000 Bohr magnetons per cell